Record 1
Material: Tc2Ni
Method: DFT, PBE-GGA
State: optimized geometry

Cell: 6.7651 4.9422 5.2447 Å, 57.92 39.10 46.81°
Closest atoms and distances in Å follow each position.
Fractional coordinates of all 6 atoms:
1 Tc 0.1692 0.1616 0.5001  3 Tc 2.44-2.73, 4 Ni 2.45-2.62
2 Tc 0.8308 0.8384 0.5000  3 Tc 2.44-2.73, 4 Ni 2.45-2.62
3 Tc 0.5013 0.4999 0.7514  8 Tc 2.59-2.78, 6 Ni 2.75-2.78
4 Tc 0.4987 0.5001 0.2486  8 Tc 2.59-2.78, 6 Ni 2.75-2.78
5 Ni 0.8365 0.8272 0.9999  1 Ni 2.36, 4 Tc 2.45-2.62
6 Ni 0.1636 0.1729 0.0001  1 Ni 2.36, 4 Tc 2.45-2.62

**ΔE_f**: 0.09 eV/atom
**Offset from the most stable computed form**: 0.492 eV/f.u.



Record 2
Material: AlZn2Ni5
Method: DFT, PBE-GGA
State: optimized geometry

Cell: 3.7733 3.7733 7.1047 Å, 105.40 105.40 90.00°
Closest atoms and distances in Å follow each position.
Fractional coordinates of all 8 atoms:
1 Al 0.0000 0.0000 0.0000  12 Ni 2.49-2.67
2 Zn 0.7492 0.7492 0.4984  8 Ni 2.52-2.53, 4 Zn 2.67
3 Zn 0.2508 0.2508 0.5016  8 Ni 2.52-2.53, 4 Zn 2.67
4 Ni 0.5000 0.5000 0.0000  8 Ni 2.49, 4 Al 2.67
5 Ni 0.8771 0.3771 0.7542  6 Ni 2.49-2.67, 2 Al 2.49, 4 Zn 2.52-2.53
6 Ni 0.3771 0.8771 0.7542  2 Al 2.49, 6 Ni 2.49-2.67, 4 Zn 2.52-2.53
7 Ni 0.1229 0.6229 0.2458  6 Ni 2.49-2.67, 2 Al 2.49, 4 Zn 2.52-2.53
8 Ni 0.6229 0.1229 0.2458  2 Al 2.49, 6 Ni 2.49-2.67, 4 Zn 2.52-2.53

**ΔE_f**: -0.32 eV/atom



Record 3
Material: Ac3ZnCd2Pd9
Method: DFT, PBE-GGA
State: optimized geometry

Cell: 7.6964 7.6964 6.9079 Å, 90.00 90.00 120.00°
Closest atoms and distances in Å follow each position.
Fractional coordinates of all 15 atoms:
1 Ac 0.3333 0.6667 0.6758  6 Pd 3.15-3.32, 2 Cd 3.38-3.53
2 Ac 0.0000 0.0000 0.0000  6 Pd 3.12, 2 Zn 3.45
3 Ac 0.6667 0.3333 0.3242  6 Pd 3.15-3.32, 2 Cd 3.38-3.53
4 Zn 0.0000 0.0000 0.5000  6 Pd 2.39
5 Cd 0.3333 0.6667 0.1869  6 Pd 2.56-2.57
6 Cd 0.6667 0.3333 0.8131  6 Pd 2.56-2.57
7 Pd 0.8427 0.1573 0.6650  1 Zn 2.39, 1 Cd 2.56
8 Pd 0.8427 0.6855 0.6650  1 Zn 2.39, 1 Cd 2.56
9 Pd 0.3145 0.1573 0.6650  1 Zn 2.39, 1 Cd 2.56
10 Pd 0.6855 0.8427 0.3350  1 Zn 2.39, 1 Cd 2.56
11 Pd 0.1573 0.3145 0.3350  1 Zn 2.39, 1 Cd 2.56
12 Pd 0.1573 0.8427 0.3350  1 Zn 2.39, 1 Cd 2.56
13 Pd 0.5000 0.0000 0.0000  2 Cd 2.57
14 Pd 0.0000 0.5000 0.0000  2 Cd 2.57
15 Pd 0.5000 0.5000 0.0000  2 Cd 2.57

**ΔE_f**: -0.32 eV/atom